This record from the Alexandria database describes an optimized crystal structure of NaTaHg2Br. The functional is PBE.

D(E_F) ... 3.41 states/eV/f.u.
Formation energy (no corrections) ... 0.696 eV/atom
Space-group type ... P4/mmm, No. 123
Mass density ... 5.74 g/cm³
Calculated total energy ... -2.393 eV/atom
M_tot ... 3.5 μB per formula unit

Cell lengths 5.449, 6.670, 5.449 Å; angles 90.00, 90.00, 90.00 degrees
Positions (direct):
1 Na 0.000 0.500 0.000
2 Hg 0.000 0.000 0.500
3 Hg 0.500 0.000 0.000
4 Br 0.500 0.500 0.500
5 Ta 0.000 0.000 0.000